# 1
LiMgPb2 | PBE | optimized geometry

POSCAR file:
```
LiMgPb2
1.0
3.545 0.000 0.000
0.000 4.784 0.000
0.000 0.000 6.111
Pb Mg Li
2 1 1
Direct
0.000 0.000 0.988 Pb
0.500 0.500 0.265 Pb
0.500 0.500 0.758 Mg
0.000 0.000 0.490 Li
```

As for the space group: Pmm2, No. 25. The total magnetization comes out at 0.0 μB per cell. Its density of states at the Fermi level is 1.50 states/eV/cell. For the raw total energy, the calculation gives -2.830 eV/atom. As for the formation enthalpy at 0 K: -0.099 eV per atom.

---

# 2
Li2CrRe | PBE | optimized geometry

POSCAR file:
```
Li2CrRe
1.0
-2.209 1.997 -0.629
0.033 -0.881 -2.913
-4.475 -4.535 1.320
Cr Li Re
1 2 1
Direct
0.500 0.500 0.711 Cr
0.000 0.000 0.991 Li
0.500 0.500 0.262 Li
0.000 0.000 0.536 Re
```

As for the space group: P4mm, No. 99. The total magnetization comes out at 1.4 μB per cell. Its density of states at the Fermi level is 2.80 states/eV/cell. Its energy above the most stable polymorph in this dataset is 90 meV/atom. For the raw total energy, the calculation gives -6.137 eV/atom. As for the formation enthalpy at 0 K: 0.338 eV per atom.

---

# 3
YAlF5 | PBE | optimized geometry

POSCAR file:
```
YAlF5
1.0
5.509 -0.478 -0.132
1.294 5.376 -0.132
2.299 1.655 6.433
Y Al F
2 2 10
Direct
0.486 0.514 0.250 Y
0.514 0.486 0.750 Y
0.000 0.000 0.000 Al
0.000 0.000 0.500 Al
0.838 0.709 0.126 F
0.162 0.711 0.449 F
0.709 0.838 0.626 F
0.904 0.096 0.250 F
0.289 0.838 0.051 F
0.711 0.162 0.949 F
0.096 0.904 0.750 F
0.291 0.162 0.374 F
0.838 0.289 0.551 F
0.162 0.291 0.874 F
```

As for the space group: C2/c, No. 15. The total magnetization comes out at 0.5 μB per cell. Its density of states at the Fermi level is 0.86 states/eV/cell. The energy relative to the elements, uncorrected is -24.06 eV/f.u. For the raw total energy, the calculation gives -6.232 eV/atom.

---

# 4
LaO | PBE | optimized geometry

POSCAR file:
```
LaO
1.0
-0.739 2.081 2.904
-0.710 -1.553 3.224
2.416 0.258 2.721
O La
1 1
Direct
0.500 0.500 0.500 O
0.000 0.000 0.000 La
```

As for the space group: Fm-3m, No. 225. The total magnetization comes out at 0.0 μB per cell. Its density of states at the Fermi level is 1.32 states/eV/cell. The energy relative to the elements, uncorrected is -5.72 eV/f.u. For the raw total energy, the calculation gives -7.802 eV/atom.

---

# 5
ZnSO3 | PBE | optimized geometry

POSCAR file:
```
ZnSO3
1.0
3.673 0.000 0.000
0.000 3.673 0.000
0.000 0.000 3.673
Zn S O
1 1 3
Direct
0.500 0.500 0.500 Zn
0.000 0.000 0.000 S
0.000 0.500 0.000 O
0.000 0.000 0.500 O
0.500 0.000 0.000 O
```

As for the space group: Pm-3m, No. 221. The total magnetization comes out at 0.0 μB per cell. Its density of states at the Fermi level is 0.49 states/eV/cell. The energy relative to the elements, uncorrected is -0.70 eV/f.u. For the raw total energy, the calculation gives -4.196 eV/atom.

---

# 6
Pm3TlAg | PBE | optimized geometry

POSCAR file:
```
Pm3TlAg
1.0
5.201 0.000 1.189
0.000 5.334 0.000
0.314 0.000 10.603
Pm Tl Ag
6 2 2
Direct
0.764 0.250 0.120 Pm
0.387 0.250 0.875 Pm
0.575 0.250 0.498 Pm
0.262 0.750 0.125 Pm
0.884 0.750 0.880 Pm
0.073 0.750 0.502 Pm
0.670 0.750 0.308 Tl
0.978 0.250 0.692 Tl
0.477 0.750 0.694 Ag
0.171 0.250 0.306 Ag
```

As for the space group: Cmcm, No. 63. The total magnetization comes out at 1.1 μB per cell. Its density of states at the Fermi level is 12.94 states/eV/cell. Its energy above the most stable polymorph in this dataset is 0 meV/atom. For the raw total energy, the calculation gives -4.128 eV/atom. As for the formation enthalpy at 0 K: -0.234 eV per atom.

---

Q: raw total energy of number 6 (Pm3TlAg)?
A: -4.128 eV/atom